1.
K3PdPb (PBE-GGA, relaxed); E above lowest polymorph = 0.000 eV per atom; crystal system = cubic
1.0
-5.038 2.988 1.895
-0.516 -3.884 4.749
3.501 3.728 3.429
Pb K Pd
1 3 1
direct
0.500 0.500 0.500 Pb
0.000 0.500 0.000 K
0.000 0.000 0.500 K
0.500 0.000 0.000 K
0.000 0.000 0.000 Pd


2.
KPd2Pb6 (PBE-GGA, relaxed); energy = -34.7 eV/cell; crystal system = monoclinic
1.0
4.309 0.333 1.002
1.378 7.974 0.985
0.478 -1.483 8.001
K Pd Pb
1 2 6
direct
0.000 0.000 0.000 K
0.367 0.633 0.633 Pd
0.633 0.367 0.367 Pd
0.210 0.150 0.426 Pb
0.790 0.850 0.574 Pb
0.790 0.574 0.850 Pb
0.500 0.726 0.274 Pb
0.500 0.274 0.726 Pb
0.210 0.426 0.150 Pb


3.
KPdPb (PBE-GGA, relaxed); energy = -10.3 eV/cell; crystal system = trigonal
1.0
-0.308 -2.215 -4.729
-3.190 -3.001 1.613
-1.346 4.080 -1.823
Pb K Pd
1 1 1
direct
0.168 0.333 0.667 Pb
0.667 0.667 0.333 K
0.165 0.000 0.000 Pd


4.
K3Pd3Pb8 (PBE-GGA, relaxed); E above lowest polymorph = 0.028 eV per atom; crystal system = orthorhombic
1.0
-1.838 -4.607 -0.674
7.608 -5.869 0.772
-0.711 -3.733 8.859
K Pd Pb
3 3 8
direct
0.500 0.500 0.500 K
0.837 0.163 0.163 K
0.163 0.837 0.837 K
0.500 0.000 0.000 Pd
0.000 0.755 0.245 Pd
0.000 0.245 0.755 Pd
0.611 0.090 0.688 Pb
0.389 0.910 0.312 Pb
0.611 0.688 0.090 Pb
0.389 0.312 0.910 Pb
0.832 0.804 0.533 Pb
0.168 0.196 0.467 Pb
0.832 0.533 0.804 Pb
0.168 0.467 0.196 Pb


5.
K2Pd2Pb (PBE-GGA, relaxed); E above lowest polymorph = 0.000 eV per atom; crystal system = trigonal
1.0
-2.985 2.250 2.916
-1.579 -3.524 -2.751
2.012 -6.312 6.931
K Pd Pb
2 2 1
direct
0.333 0.667 0.713 K
0.667 0.333 0.287 K
0.333 0.667 0.047 Pd
0.667 0.333 0.953 Pd
0.000 0.000 0.000 Pb


6.
KPd4Pb4 (PBE-GGA, relaxed); energy = -77.0 eV/cell; crystal system = tetragonal
1.0
-3.822 3.633 -1.538
-3.598 -6.326 -5.999
-5.740 -3.166 6.781
K Pd Pb
2 8 8
direct
0.000 0.000 0.000 K
0.500 0.500 0.500 K
0.578 0.828 0.329 Pd
0.578 0.172 0.671 Pd
0.078 0.829 0.672 Pd
0.922 0.328 0.829 Pd
0.922 0.672 0.171 Pd
0.422 0.329 0.172 Pd
0.422 0.671 0.828 Pd
0.078 0.171 0.328 Pd
0.421 0.366 0.876 Pb
0.921 0.624 0.866 Pb
0.421 0.634 0.124 Pb
0.079 0.134 0.624 Pb
0.579 0.876 0.634 Pb
0.079 0.866 0.376 Pb
0.921 0.376 0.134 Pb
0.579 0.124 0.366 Pb


7.
K3Pd6Pb5 (PBE-GGA, relaxed); energy = -111.6 eV/cell; crystal system = orthorhombic
1.0
4.332 0.000 0.000
0.000 12.663 0.000
0.000 0.000 13.389
K Pd Pb
6 12 10
direct
0.000 0.266 0.645 K
0.500 0.734 0.145 K
0.500 0.734 0.855 K
0.000 0.264 0.000 K
0.500 0.736 0.500 K
0.000 0.266 0.355 K
0.000 0.010 0.826 Pd
0.500 0.990 0.674 Pd
0.500 0.368 0.819 Pd
0.500 0.488 0.000 Pd
0.000 0.512 0.500 Pd
0.000 0.632 0.681 Pd
0.000 0.632 0.319 Pd
0.500 0.031 0.000 Pd
0.000 0.010 0.174 Pd
0.500 0.368 0.181 Pd
0.000 0.969 0.500 Pd
0.500 0.990 0.326 Pd
0.000 0.507 0.859 Pb
0.000 0.854 0.678 Pb
0.000 0.898 0.000 Pb
0.500 0.493 0.641 Pb
0.500 0.102 0.500 Pb
0.000 0.507 0.141 Pb
0.500 0.493 0.359 Pb
0.000 0.854 0.322 Pb
0.500 0.146 0.822 Pb
0.500 0.146 0.178 Pb


8.
KPd6Pb12 (PBE-GGA, relaxed); energy = -79.7 eV/cell; crystal system = trigonal
1.0
8.438 -0.118 -0.167
-2.206 8.145 -0.167
-2.206 -2.842 7.635
K Pd Pb
1 6 12
direct
0.000 0.000 0.000 K
0.708 0.274 0.274 Pd
0.274 0.274 0.708 Pd
0.274 0.708 0.274 Pd
0.726 0.726 0.292 Pd
0.292 0.726 0.726 Pd
0.726 0.292 0.726 Pd
0.877 0.123 0.500 Pb
0.845 0.582 0.582 Pb
0.582 0.582 0.845 Pb
0.418 0.155 0.418 Pb
0.418 0.418 0.155 Pb
0.155 0.418 0.418 Pb
0.123 0.500 0.877 Pb
0.500 0.877 0.123 Pb
0.123 0.877 0.500 Pb
0.877 0.500 0.123 Pb
0.500 0.123 0.877 Pb
0.582 0.845 0.582 Pb


9.
KPd3Pb (PBE-GGA, relaxed); E above lowest polymorph = 1.155 eV per atom; crystal system = cubic
1.0
-1.038 4.004 -2.846
1.164 -2.626 -4.118
-4.773 -1.511 -0.386
Pb K Pd
1 1 3
direct
0.500 0.500 0.500 Pb
0.000 0.000 0.000 K
0.000 0.500 0.000 Pd
0.000 0.000 0.500 Pd
0.500 0.000 0.000 Pd


10.
K2PdPb2 (PBE-GGA, relaxed); E above lowest polymorph = 0.055 eV per atom; crystal system = tetragonal
1.0
7.381 0.000 0.000
0.000 7.381 0.000
0.000 0.000 5.978
Pb K Pd
4 4 2
direct
0.353 0.853 0.000 Pb
0.853 0.647 0.000 Pb
0.647 0.147 0.000 Pb
0.147 0.353 0.000 Pb
0.179 0.679 0.500 K
0.679 0.821 0.500 K
0.821 0.321 0.500 K
0.321 0.179 0.500 K
0.000 0.000 0.000 Pd
0.500 0.500 0.000 Pd


11.
K2Pd3Pb5 (PBE-GGA, relaxed); E above lowest polymorph = 0.000 eV per atom; crystal system = orthorhombic
1.0
-4.607 5.011 -0.858
-7.986 -3.380 -4.285
-6.781 -0.358 6.888
K Pd Pb
4 6 10
direct
0.151 0.579 0.119 K
0.651 0.119 0.579 K
0.849 0.421 0.881 K
0.349 0.881 0.421 K
0.362 0.534 0.741 Pd
0.862 0.741 0.534 Pd
0.638 0.466 0.259 Pd
0.138 0.259 0.466 Pd
0.250 0.000 0.000 Pd
0.750 0.000 0.000 Pd
0.420 0.248 0.913 Pb
0.920 0.913 0.248 Pb
0.580 0.752 0.087 Pb
0.080 0.087 0.752 Pb
0.473 0.777 0.777 Pb
0.527 0.223 0.223 Pb
0.750 0.500 0.500 Pb
0.250 0.500 0.500 Pb
0.027 0.223 0.223 Pb
0.973 0.777 0.777 Pb


12.
K3Pd3Pb8 (PBE-GGA, relaxed); E above lowest polymorph = 0.000 eV per atom; crystal system = monoclinic
1.0
5.085 0.000 1.341
1.679 8.354 3.944
0.220 -0.057 9.477
K Pd Pb
3 3 8
direct
0.285 0.718 0.712 K
0.715 0.282 0.288 K
0.000 0.000 0.000 K
0.000 0.500 0.500 Pd
0.656 0.676 0.012 Pd
0.344 0.324 0.988 Pd
0.142 0.156 0.560 Pb
0.858 0.844 0.440 Pb
0.845 0.443 0.867 Pb
0.155 0.557 0.133 Pb
0.506 0.659 0.329 Pb
0.494 0.341 0.671 Pb
0.351 0.044 0.253 Pb
0.649 0.956 0.747 Pb